## Tm2Mg2Rh (GGA-PBE)

Data for crystalline Tm2Mg2Rh at its relaxed geometry.

Unit cell a=10.3830 b=10.3830 c=10.3830 alpha=161.18 beta=161.18 gamma=26.74
Closest atoms and distances in Å follow each position.
Atoms (fractional coordinates):
Tm 0.0814 0.0814 0.0000  4 Rh 2.91
Tm 0.9186 0.9186 0.0000  4 Rh 2.91
Mg 0.2985 0.2985 0.0000  8 Mg 3.10-3.40, 4 Tm 3.41
Mg 0.7015 0.7015 0.0000  8 Mg 3.10-3.40, 4 Tm 3.41
Rh 0.5000 0.5000 0.0000  8 Tm 2.91

## Properties
The value obtained for the formation energy is -0.439 eV per atom. For the spin magnetization, the calculation gives 0.0 μB/f.u.